No. 1
This record from Alexandria describes a geometry-optimized TbDy2Sc3Te6 structure. The functional is GGA-PBE.

Cell and atoms, written as extended XYZ:
```
12
Lattice="9.299 -2.126 0.000 9.299 2.126 0.000 -1.996 0.000 8.321" Properties=species:S:1:pos:R:3 pbc="T T T"
Tb 0.000 0.000 0.000
Dy 4.877 0.000 5.557
Dy 11.725 0.000 2.764
Sc -0.998 0.000 4.160
Sc 5.881 0.000 1.388
Sc 10.722 0.000 6.933
Te 1.865 0.000 4.918
Te 3.023 0.000 0.627
Te 8.722 0.000 2.158
Te 7.881 0.000 6.163
Te 13.579 0.000 7.694
Te 14.737 0.000 3.403
```

Formation energy (no corrections) in eV/atom: -1.19
Density of states at the Fermi level in states/eV per cell: 7.43

=====

No. 2
This record from Alexandria describes a geometry-optimized TbDy2ScTe4 structure. The functional is GGA-PBE.

Cell and atoms, written as extended XYZ:
```
8
Lattice="7.484 0.000 0.000 0.000 4.280 0.000 -2.449 0.000 7.103" Properties=species:S:1:pos:R:3 pbc="T T T"
Tb 0.000 0.000 0.000
Dy 2.518 0.000 3.552
Dy 3.742 2.140 0.000
Sc -1.224 2.140 3.552
Te -0.007 0.000 5.257
Te 1.217 2.140 1.817
Te 3.819 2.140 5.286
Te 5.043 0.000 1.847
```

Formation energy (no corrections) in eV/atom: -1.23
Density of states at the Fermi level in states/eV per cell: 5.42

=====

No. 3
This record from Alexandria describes a geometry-optimized TbDy2ScTe6 structure. The functional is GGA-PBE.

Cell and atoms, written as extended XYZ:
```
10
Lattice="3.802 2.195 6.943 -3.802 2.195 6.943 0.000 -4.390 6.943" Properties=species:S:1:pos:R:3 pbc="T T T"
Tb 0.000 0.000 0.000
Dy 0.000 0.000 3.847
Dy 0.000 0.000 14.297
Sc 0.000 0.000 10.454
Te -1.128 -2.218 8.873
Te -2.344 -0.037 12.272
Te -1.357 2.086 8.873
Te 1.203 -2.011 12.272
Te 2.485 0.132 8.873
Te 1.140 2.048 12.272
```

Formation energy (no corrections) in eV/atom: -1.31

=====

No. 4
This record from Alexandria describes a geometry-optimized Tb2Dy3ScTe6 structure. The functional is GGA-PBE.

Cell and atoms, written as extended XYZ:
```
12
Lattice="9.433 -2.158 0.000 9.433 2.158 0.000 -1.950 0.000 8.467" Properties=species:S:1:pos:R:3 pbc="T T T"
Tb 2.521 0.000 2.827
Tb 14.394 0.000 5.640
Dy 1.632 0.000 7.085
Dy 8.457 0.000 4.234
Dy 15.283 0.000 1.382
Sc 9.433 0.000 0.000
Te -1.437 0.000 6.438
Te 5.503 0.000 3.521
Te 4.618 0.000 7.801
Te 12.297 0.000 0.667
Te 11.412 0.000 4.946
Te 18.352 0.000 2.029
```

Formation energy (no corrections) in eV/atom: -1.26
Density of states at the Fermi level in states/eV per cell: 7.02

=====

No. 5
This record from Alexandria describes a geometry-optimized Tb3Dy2ScTe6 structure. The functional is GGA-PBE.

Cell and atoms, written as extended XYZ:
```
12
Lattice="9.444 -2.159 0.000 9.444 2.159 0.000 -1.988 0.000 8.470" Properties=species:S:1:pos:R:3 pbc="T T T"
Tb 0.000 0.000 0.000
Tb 4.877 0.000 5.621
Tb 12.022 0.000 2.849
Dy 5.950 0.000 1.413
Dy 10.949 0.000 7.057
Sc -0.994 0.000 4.235
Te 1.870 0.000 4.921
Te 2.980 0.000 0.697
Te 7.945 0.000 6.259
Te 8.954 0.000 2.212
Te 13.920 0.000 7.773
Te 15.029 0.000 3.550
```

Formation energy (no corrections) in eV/atom: -1.26
Density of states at the Fermi level in states/eV per cell: 6.89

=====

No. 6
This record from Alexandria describes a geometry-optimized TbDy2ThSc structure. The functional is GGA-PBE.

Cell and atoms, written as extended XYZ:
```
10
Lattice="7.780 0.000 0.000 0.000 4.984 0.000 -0.048 0.000 7.838" Properties=species:S:1:pos:R:3 pbc="T T T"
Tb 1.921 1.246 1.925
Tb 5.811 3.738 5.913
Dy 1.181 3.738 7.426
Dy 2.673 3.738 4.309
Dy 5.059 1.246 3.529
Dy 6.551 1.246 0.412
Th 0.390 1.246 5.080
Th 7.342 3.738 2.758
Sc 3.464 1.246 6.680
Sc 4.269 3.738 1.158
```

Density of states at the Fermi level in states/eV per cell: 14.67
Formation enthalpy at 0 K in eV/atom: 0.048

=====

No. 7
This record from Alexandria describes a geometry-optimized Tb6Dy3ThSc2 structure. The functional is GGA-PBE.

Cell and atoms, written as extended XYZ:
```
12
Lattice="3.033 -5.251 0.000 3.033 5.251 0.000 -2.021 0.000 11.511" Properties=species:S:1:pos:R:3 pbc="T T T"
Tb 1.010 1.749 2.828
Tb -0.001 0.000 8.685
Tb 1.010 -1.749 2.828
Tb 3.034 1.749 8.683
Tb 4.046 0.000 2.826
Tb 3.034 -1.749 8.683
Dy 2.022 3.493 5.756
Dy 2.022 0.000 5.756
Dy 2.022 -3.493 5.756
Th 0.000 0.000 0.000
Sc 3.033 1.752 0.000
Sc 3.033 -1.752 0.000
```

Density of states at the Fermi level in states/eV per cell: 16.29
Formation enthalpy at 0 K in eV/atom: 0.041

=====

No. 8
This record from Alexandria describes a geometry-optimized Tb3Dy6Th2Sc structure. The functional is GGA-PBE.

Cell and atoms, written as extended XYZ:
```
12
Lattice="3.053 -5.288 0.000 3.053 5.288 0.000 -2.042 0.000 11.553" Properties=species:S:1:pos:R:3 pbc="T T T"
Tb 0.000 0.000 0.000
Tb 3.053 1.760 0.000
Tb 3.053 -1.760 0.000
Dy 1.020 1.759 2.934
Dy -0.008 0.000 8.624
Dy 1.020 -1.759 2.934
Dy 3.045 1.759 8.619
Dy 4.072 0.000 2.929
Dy 3.045 -1.759 8.619
Th 2.032 3.528 5.777
Th 2.032 -3.528 5.777
Sc 2.032 0.000 5.777
```

Density of states at the Fermi level in states/eV per cell: 16.69
Formation enthalpy at 0 K in eV/atom: 0.026

=====

No. 9
This record from Alexandria describes a geometry-optimized TbDyTh2Sc structure. The functional is GGA-PBE.

Cell and atoms, written as extended XYZ:
```
10
Lattice="8.375 0.000 0.000 0.000 3.455 0.000 -3.913 0.000 10.863" Properties=species:S:1:pos:R:3 pbc="T T T"
Tb -0.627 0.864 2.937
Tb 5.088 2.591 7.926
Dy 1.465 2.591 0.583
Dy 2.996 0.864 10.280
Th 0.143 2.591 9.282
Th 2.287 2.591 3.939
Th 2.175 0.864 6.924
Th 4.318 0.864 1.581
Sc -0.546 2.591 5.906
Sc 5.008 0.864 4.957
```

Density of states at the Fermi level in states/eV per cell: 15.21
Formation enthalpy at 0 K in eV/atom: 0.149

=====

No. 10
This record from Alexandria describes a geometry-optimized Tb2DyThSc4 structure. The functional is GGA-PBE.

Cell and atoms, written as extended XYZ:
```
8
Lattice="4.956 0.000 0.000 0.000 4.956 0.000 0.000 0.000 9.118" Properties=species:S:1:pos:R:3 pbc="T T T"
Tb 0.000 0.000 0.000
Tb 2.478 2.478 4.559
Dy 0.000 0.000 4.559
Th 2.478 2.478 0.000
Sc 0.000 2.478 2.258
Sc 0.000 2.478 6.860
Sc 2.478 0.000 2.258
Sc 2.478 0.000 6.860
```

Density of states at the Fermi level in states/eV per cell: 11.42
Formation enthalpy at 0 K in eV/atom: 0.041

=====

No. 11
This record from Alexandria describes a geometry-optimized Tb3DyThSc structure. The functional is GGA-PBE.

Cell and atoms, written as extended XYZ:
```
12
Lattice="2.472 -7.437 0.000 2.472 7.437 0.000 0.000 0.000 10.013" Properties=species:S:1:pos:R:3 pbc="T T T"
Tb 2.472 4.985 10.012
Tb 2.472 4.985 5.008
Tb 2.472 2.495 7.510
Tb 2.472 -2.495 2.503
Tb 2.472 -4.985 0.001
Tb 2.472 -4.985 5.005
Dy 2.472 0.000 0.000
Dy 2.472 0.000 5.007
Th 2.472 7.391 7.510
Th 2.472 -7.391 2.503
Sc 2.472 2.445 2.503
Sc 2.472 -2.445 7.510
```

Density of states at the Fermi level in states/eV per cell: 19.18
Formation enthalpy at 0 K in eV/atom: 0.048

=====

No. 12
This record from Alexandria describes a geometry-optimized Tb6Dy2ThSc3 structure. The functional is GGA-PBE.

Cell and atoms, written as extended XYZ:
```
12
Lattice="3.032 -5.250 0.000 3.032 5.250 0.000 -2.021 0.000 11.311" Properties=species:S:1:pos:R:3 pbc="T T T"
Tb -0.007 1.737 8.579
Tb 0.994 0.000 2.732
Tb -0.007 -1.737 8.579
Tb 4.049 1.737 2.733
Tb 3.048 0.000 8.579
Tb 4.049 -1.737 2.733
Dy 2.021 1.750 5.656
Dy 2.021 -1.750 5.656
Th -1.010 0.000 5.656
Sc 3.032 3.496 0.000
Sc 3.032 0.000 0.000
Sc 3.032 -3.496 0.000
```

Density of states at the Fermi level in states/eV per cell: 17.56
Formation enthalpy at 0 K in eV/atom: 0.055